# 1
Entry from OQMD via LeMat-Bulk: a geometry-optimized LaGa2Cu2Pd structure (GGA-PBE).

Lattice parameters (Å, degrees): 5.3234 9.8367 4.0118 90.00 90.00 90.00
With the nearest neighbours (Å) after each atom.
Space group Cmmm (No. 65)
Unique sites:
La 0.0000 0.0000 0.0000 [2 per cell]  6 Ga 3.17-3.19, 4 Pd 3.33, 8 Cu 3.44
Ga 0.0000 0.3241 0.0000 [4 per cell]  4 Cu 2.52, 2 Pd 2.65
Cu 0.2500 0.2500 0.5000 [4 per cell]  4 Ga 2.52, 2 Cu 2.66, 2 Pd 2.80
Pd 0.0000 0.5000 0.5000 [2 per cell]  4 Ga 2.65, 4 Cu 2.80

Computed properties:
As for the magnetic moment: 0.00 μB/atom. Its uncorrected energy is -4.405 eV/atom.

# 2
Entry from OQMD via LeMat-Bulk: a geometry-optimized LaGa2CuPd structure (GGA-PBE).

Lattice parameters (Å, degrees): 4.3907 4.3907 10.0503 90.00 90.00 90.00
With the nearest neighbours (Å) after each atom.
Space group P4/nmm (No. 129, origin choice 2)
Unique sites:
La 0.2500 0.2500 0.2450 [2 per cell]  4 Cu 3.30, 4 Pd 3.34, 9 Ga 3.36-3.65
Ga 0.2500 0.2500 0.8819 [2 per cell]  4 Cu 2.50, 1 Pd 2.51
Ga 0.2500 0.7500 0.5000 [2 per cell]  4 Pd 2.57
Cu 0.2500 0.7500 0.0000 [2 per cell]  4 Ga 2.50
Pd 0.2500 0.2500 0.6322 [2 per cell]  5 Ga 2.51-2.57

Computed properties:
As for the magnetic moment: 0.00 μB/atom. Its uncorrected energy is -4.615 eV/atom.

# 3
Entry from OQMD via LeMat-Bulk: a geometry-optimized LaSm2Ga2Cu4 structure (GGA-PBE).

Lattice parameters (Å, degrees): 10.2894 4.2513 8.3864 90.00 99.11 90.00
With the nearest neighbours (Å) after each atom.
Space group C2/m (No. 12)
Unique sites:
La 0.0000 0.0000 0.0000 [2 per cell]  8 Cu 2.97-3.30
Sm 0.1244 0.5000 0.3794 [4 per cell]  6 Cu 2.91-3.10, 2 Ga 3.22
Ga 0.1845 0.5000 0.7683 [4 per cell]  5 Cu 2.55-2.58
Cu 0.0821 0.0000 0.6350 [4 per cell]  2 Ga 2.55, 1 Cu 2.60
Cu 0.2283 0.5000 0.0766 [4 per cell]  3 Ga 2.55-2.58, 3 Cu 2.56-2.86

Computed properties:
As for the magnetic moment: 0.00 μB/atom. Its uncorrected energy is -4.277 eV/atom.

# 4
Entry from OQMD via LeMat-Bulk: a geometry-optimized LaGaCu2Sn structure (GGA-PBE).

Lattice parameters (Å, degrees): 4.4056 4.4056 10.3506 90.00 90.00 90.00
With the nearest neighbours (Å) after each atom.
Space group P4/nmm (No. 129, origin choice 2)
Unique sites:
La 0.2500 0.2500 0.2428 [2 per cell]  4 Ga 3.34, 4 Sn 3.35, 9 Cu 3.39-3.70
Ga 0.2500 0.7500 0.0000 [2 per cell]  4 Cu 2.50
Cu 0.2500 0.2500 0.8857 [2 per cell]  4 Ga 2.50, 1 Sn 2.57
Cu 0.2500 0.7500 0.5000 [2 per cell]  4 Sn 2.62
Sn 0.2500 0.2500 0.6372 [2 per cell]  5 Cu 2.57-2.62

Computed properties:
As for the magnetic moment: 0.00 μB/atom. Its uncorrected energy is -4.352 eV/atom.

# 5
Entry from OQMD via LeMat-Bulk: a geometry-optimized LiGa2Cu5 structure (GGA-PBE).

Lattice parameters (Å, degrees): 4.1323 4.1323 5.8494 90.00 90.00 90.00
With the nearest neighbours (Å) after each atom.
Space group P4/mmm (No. 123)
Unique sites:
Li 0.0000 0.0000 0.0000 [1 per cell]  8 Cu 2.53
Ga 0.0000 0.0000 0.5000 [1 per cell]  8 Cu 2.54
Ga 0.5000 0.5000 0.0000 [1 per cell]  8 Cu 2.53
Cu 0.0000 0.5000 0.2486 [4 per cell]  2 Li 2.53, 4 Ga 2.53-2.54, 2 Cu 2.54
Cu 0.5000 0.5000 0.5000 [1 per cell]  8 Cu 2.54

Computed properties:
Its uncorrected energy is -3.460 eV/atom.

# 6
Entry from OQMD via LeMat-Bulk: a geometry-optimized LiGa2Cu structure (GGA-PBE).

Lattice parameters (Å, degrees): 6.1370 6.1370 6.1370 90.00 90.00 90.00
With the nearest neighbours (Å) after each atom.
Space group F-43m (No. 216)
Unique sites:
Li 0.0000 0.0000 0.0000 [4 per cell]  4 Cu 2.66, 4 Ga 2.66
Ga 0.0000 0.0000 0.5000 [4 per cell]  4 Cu 2.66, 4 Ga 2.66
Ga 0.2500 0.2500 0.7500 [4 per cell]  4 Li 2.66, 4 Ga 2.66
Cu 0.2500 0.2500 0.2500 [4 per cell]  4 Li 2.66, 4 Ga 2.66

Computed properties:
Its uncorrected energy is -3.059 eV/atom.

# 7
Entry from OQMD via LeMat-Bulk: a geometry-optimized LiGa2Cu5 structure (GGA-PBE).

Lattice parameters (Å, degrees): 4.1323 4.1323 5.8493 90.00 90.00 90.00
With the nearest neighbours (Å) after each atom.
Space group P4/mmm (No. 123)
Unique sites:
Li 0.0000 0.0000 0.0000 [1 per cell]  8 Cu 2.53
Ga 0.0000 0.0000 0.5000 [1 per cell]  8 Cu 2.54
Ga 0.5000 0.5000 0.0000 [1 per cell]  8 Cu 2.53
Cu 0.0000 0.5000 0.2486 [4 per cell]  2 Li 2.53, 4 Ga 2.53-2.54, 2 Cu 2.54
Cu 0.5000 0.5000 0.5000 [1 per cell]  8 Cu 2.54

Computed properties:
Its uncorrected energy is -3.460 eV/atom.

# 8
Entry from OQMD via LeMat-Bulk: a geometry-optimized Li4Ga3Cu structure (GGA-PBE).

Lattice parameters (Å, degrees): 4.2796 4.2796 6.1346 90.00 90.00 90.00
With the nearest neighbours (Å) after each atom.
Space group P-4m2 (No. 115)
Unique sites:
Li 0.0000 0.0000 0.0000 [1 per cell]  4 Li 2.65, 4 Ga 2.69
Li 0.0000 0.5000 0.7445 [2 per cell]  4 Li 2.61-2.65, 2 Cu 2.61, 2 Ga 2.65
Li 0.5000 0.5000 0.5000 [1 per cell]  4 Ga 2.58, 4 Li 2.61
Ga 0.0000 0.5000 0.2649 [2 per cell]  4 Li 2.58-2.69, 2 Cu 2.58, 2 Ga 2.69
Ga 0.5000 0.5000 0.0000 [1 per cell]  4 Li 2.65, 4 Ga 2.69
Cu 0.0000 0.0000 0.5000 [1 per cell]  4 Ga 2.58, 4 Li 2.61

Computed properties:
Its uncorrected energy is -2.876 eV/atom.